(1)
Below is an optimized crystal structure of SmDyTeSe, with properties calculated at the GGA-PBE level.

```
SmDyTeSe
1.0
4.1338 -0.0011 -0.0004
-2.0670 3.5814 0.0001
-2.0662 -1.1929 7.4051
Dy Se Sm Te
1 1 1 1
Direct
0.4896 0.1427 0.6477
0.3009 0.5484 0.8646
0.1155 0.9557 0.0863
0.9719 0.3840 0.3709
```

Values from the calculation:
As for the energy relative to the elements, uncorrected: -1.589 eV/atom. Its total magnetization is 0.00 μB per cell.

***

(2)
Below is an optimized crystal structure of HfNbCd2Pb, with properties calculated at the GGA-PBE level.

```
HfNbCd2Pb
1.0
-4.6774 -1.6181 -2.2568
-1.5647 -1.6544 4.4290
-2.1887 4.8688 1.0454
Cd Hf Nb Pb
2 1 1 1
Direct
0.0000 0.0000 0.5000
0.5000 0.0000 0.0000
0.0000 0.5000 0.0000
0.0000 0.0000 0.0000
0.5000 0.5000 0.5000
```

Values from the calculation:
Its total magnetization is 0.00 μB per cell. The value obtained for the formation energy is 0.849 eV per atom.

***

(3)
Below is an optimized crystal structure of CrTc2Ag, with properties calculated at the GGA-PBE level.

```
CrTc2Ag
1.0
4.6997 -0.0837 0.0000
1.4408 4.4741 0.0000
-3.0702 -2.1952 2.8015
Cr Tc Ag
1 2 1
Direct
0.7500 0.2500 0.5000
0.2500 0.7500 0.5000
0.0000 0.0000 0.0000
0.5000 0.5000 0.0000
```

Values from the calculation:
The value obtained for the energy above the lowest structure with this stoichiometry is 0.173 eV/atom. Its total magnetization is 2.11 μB per cell. The value obtained for the formation energy is 0.477 eV per atom.

***

(4)
Below is an optimized crystal structure of Ce3GeTe3, with properties calculated at the GGA-PBE level.

```
Ce3GeTe3
1.0
9.0932 0.0000 0.0000
4.5466 7.8750 0.0000
4.5466 2.6250 6.2957
Ce Te Ge
6 6 2
Direct
0.0525 0.6960 0.7811
0.3040 0.5295 0.2189
0.5295 0.9475 0.2189
0.4705 0.0525 0.7811
0.6960 0.4705 0.7811
0.9475 0.3040 0.2189
0.8929 0.6505 0.2770
0.6505 0.1796 0.2770
0.1796 0.8929 0.2770
0.8204 0.1071 0.7230
0.3495 0.8204 0.7230
0.1071 0.3495 0.7230
0.6660 0.6660 0.0021
0.3340 0.3340 0.9979
```

Values from the calculation:
As for the energy relative to the elements, uncorrected: -1.089 eV/atom. Its total magnetization is 4.05 μB per cell.

***

(5)
Below is an optimized crystal structure of BaCa2Pt, with properties calculated at the GGA-PBE level.

```
BaCa2Pt
1.0
3.7000 0.0000 0.0000
0.0000 3.7000 0.0000
0.0000 0.0000 10.0378
Ca Ba Pt
2 1 1
Direct
0.0000 0.0000 0.4110
0.0000 0.0000 0.0890
0.5000 0.5000 0.7500
0.5000 0.5000 0.2500
```

Values from the calculation:
The value obtained for the energy above the lowest structure with this stoichiometry is 0.108 eV/atom. Its total magnetization is 0.00 μB per cell. The value obtained for the formation energy is -0.455 eV per atom.

***

(6)
Below is an optimized crystal structure of YHf2SnCl, with properties calculated at the GGA-PBE level.

```
YHf2SnCl
1.0
-4.0605 -0.7279 -3.4706
2.9048 -4.1144 -2.5356
-2.2051 -3.6138 3.3378
Hf Y Cl Sn
2 1 1 1
Direct
0.0000 0.0000 0.5000
0.5000 0.0000 0.0000
0.0000 0.0000 0.0000
0.5000 0.5000 0.5000
0.0000 0.5000 0.0000
```

Values from the calculation:
As for the energy relative to the elements, uncorrected: 1.222 eV/atom. The value obtained for the energy above the lowest structure with this stoichiometry is 0.376 eV/atom. Its total magnetization is 0.00 μB per cell.

***

(7)
Below is an optimized crystal structure of TbTh2Ni6, with properties calculated at the GGA-PBE level.

```
TbTh2Ni6
1.0
3.7494 0.0000 0.0000
0.0000 6.1257 -3.5367
0.0000 0.0000 7.0734
Ni Tb Th
6 1 2
Direct
0.5000 0.0000 0.3332
0.5000 0.3332 0.0000
0.5000 0.6668 0.0000
0.5000 0.0000 0.6668
0.5000 0.3332 0.3332
0.5000 0.6668 0.6668
0.0000 0.0000 0.0000
0.0000 0.6667 0.3333
0.0000 0.3333 0.6667
```

Values from the calculation:
The value obtained for the energy above the lowest structure with this stoichiometry is 0.000 eV/atom. Its total magnetization is 0.00 μB per cell. The value obtained for the formation energy is -0.413 eV per atom.

***

(8)
Below is an optimized crystal structure of CaTcS2, with properties calculated at the GGA-PBE level.

```
CaTcS2
1.0
5.5292 0.0000 0.0000
0.0000 5.5292 0.0000
2.7646 2.7646 6.1146
Ca Tc S
2 2 4
Direct
0.5000 0.5000 0.0000
0.2500 0.7500 0.5000
0.7500 0.2500 0.5000
0.0000 0.0000 0.0000
0.0536 0.6250 0.2500
0.3750 0.3036 0.7500
0.8750 0.9464 0.7500
0.6964 0.1250 0.2500
```

Values from the calculation:
As for the energy relative to the elements, uncorrected: -0.785 eV/atom. The value obtained for the energy above the lowest structure with this stoichiometry is 0.000 eV/atom. Its total magnetization is 0.00 μB per cell.

***

(9)
Below is an optimized crystal structure of CoAgTe4, with properties calculated at the GGA-PBE level.

```
CoAgTe4
1.0
1.6322 -3.0669 5.2606
-0.2978 2.9264 5.5760
-4.4149 -1.6422 4.1900
Te Ag Co
4 1 1
Direct
0.3747 0.8759 0.3747
0.3747 0.3747 0.3747
0.3747 0.3747 0.8759
0.8759 0.3747 0.3747
0.7500 0.7500 0.7500
0.0000 0.0000 0.0000
```

Values from the calculation:
As for the energy relative to the elements, uncorrected: 0.942 eV/atom. The value obtained for the energy above the lowest structure with this stoichiometry is 1.030 eV/atom. Its total magnetization is 2.60 μB per cell.

***

(10)
Below is an optimized crystal structure of CdIn2Co2, with properties calculated at the GGA-PBE level.

```
CdIn2Co2
1.0
-5.5006 -1.6006 -4.1943
3.1134 -6.1391 -1.7404
-1.5491 -1.5267 2.6142
Co In Cd
4 4 2
Direct
0.3648 0.8648 0.0000
0.6352 0.1352 0.0000
0.1352 0.3648 0.0000
0.8648 0.6352 0.0000
0.3401 0.1599 0.5000
0.8401 0.3401 0.5000
0.1599 0.6599 0.5000
0.6599 0.8401 0.5000
0.5000 0.5000 0.0000
0.0000 0.0000 0.0000
```

Values from the calculation:
The value obtained for the energy above the lowest structure with this stoichiometry is 0.000 eV/atom. Its total magnetization is 3.19 μB per cell. The value obtained for the formation energy is 0.152 eV per atom.

***

(11)
Below is an optimized crystal structure of TbU2PaP4, with properties calculated at the GGA-PBE level.

```
TbU2PaP4
1.0
3.9377 0.0000 0.0000
0.0000 6.9330 -0.1753
0.0000 2.4025 6.3928
Pa P U Tb
1 4 2 1
Direct
0.0000 0.5000 0.5000
0.5000 0.7524 0.2503
0.5000 0.2476 0.7497
0.0000 0.7547 0.7461
0.0000 0.2453 0.2539
0.5000 0.0000 0.5000
0.0000 0.0000 0.0000
0.5000 0.5000 0.0000
```

Values from the calculation:
Its total magnetization is 4.50 μB per cell. The value obtained for the formation energy is -1.210 eV per atom.

***

(12)
Below is an optimized crystal structure of Hf2AsC, with properties calculated at the GGA-PBE level.

```
Hf2AsC
1.0
-3.1921 -0.2491 -1.1639
-2.5749 -0.4799 2.1786
-2.6187 6.0509 0.9014
C Hf As
1 2 1
Direct
0.6690 0.6690 0.9929
0.0643 0.0643 0.8072
0.2676 0.2676 0.1972
0.4991 0.4991 0.5026
```

Values from the calculation:
Its total magnetization is 0.00 μB per cell. The value obtained for the formation energy is -0.927 eV per atom.

***

no.,VASP energy (eV per cell)
1,-22.30
2,-21.31
3,-31.30
4,-78.93
5,-13.79
6,-26.11
7,-57.87
8,-47.53
9,-16.87
10,-39.69
11,-68.02
12,-37.49